Tb2ErF8 after structural relaxation. Source: Alexandria, functional PBE.

abc: 15.285 3.578 5.621
angles: 90.00 110.94 90.00
Space group C2/m (No. 12)
Symmetry-distinct sites (fractional):
Tb 0.178 0.000 0.178
Er 0.000 0.500 0.500
F 0.048 0.000 0.281
F 0.096 0.500 0.927
F 0.179 0.500 0.456
F 0.223 0.000 0.829

Output
As for the density of states at the Fermi level: 3.11 states/eV/cell. The calculation puts the uncorrected formation energy at -4089 kJ/mol of formula units.



ZnAgPS2 after structural relaxation. Source: Alexandria, functional PBE.

abc: 4.792 4.792 4.538
angles: 90.00 90.00 90.00
Space group P4/mmm (No. 123)
Symmetry-distinct sites (fractional):
Zn 0.000 0.000 0.000
Ag 0.500 0.500 0.500
P 0.000 0.000 0.500
S 0.000 0.500 0.000

Output
As for the density of states at the Fermi level: 4.08 states/eV/cell. The calculation puts the uncorrected formation energy at 363 kJ/mol of formula units.



CeHfPb after structural relaxation. Source: Alexandria, functional PBE.

abc: 3.910 3.910 10.433
angles: 90.00 90.00 90.00
Space group I4mm (No. 107)
Symmetry-distinct sites (fractional):
Ce 0.000 0.000 0.000
Hf 0.000 0.000 0.308
Pb 0.000 0.000 0.679

Output
As for the density of states at the Fermi level: 12.58 states/eV/cell. The formation energy comes out at 0.04 eV per atom.



Cs8K5Au after structural relaxation. Source: Alexandria, functional PBE.

abc: 13.916 13.916 12.564
angles: 90.00 90.00 90.00
Space group I-4 (No. 82)
Symmetry-distinct sites (fractional):
Cs 0.044 0.344 0.050
Cs 0.127 0.275 0.703
K 0.000 0.000 0.000
K 0.065 0.151 0.361
Au 0.000 0.500 0.750

Output
As for the density of states at the Fermi level: 22.60 states/eV/cell. The formation energy comes out at -0.02 eV per atom.



SrCaY2Pd after structural relaxation. Source: Alexandria, functional PBE.

abc: 5.532 5.532 6.031
angles: 90.00 90.00 90.00
Space group P4/mmm (No. 123)
Symmetry-distinct sites (fractional):
Sr 0.000 0.000 0.000
Ca 0.500 0.500 0.000
Y 0.000 0.500 0.500
Pd 0.000 0.000 0.500

Output
As for the density of states at the Fermi level: 6.20 states/eV/cell. The formation energy comes out at -0.17 eV per atom.



LaNd2Tm2 after structural relaxation. Source: Alexandria, functional PBE.

abc: 3.612 3.612 25.708
angles: 90.00 90.00 90.00
Space group I4/mmm (No. 139)
Symmetry-distinct sites (fractional):
La 0.000 0.000 0.000
Nd 0.000 0.000 0.395
Tm 0.000 0.000 0.203

Output
As for the density of states at the Fermi level: 15.09 states/eV/cell. The formation energy comes out at 0.03 eV per atom.



Mn2C after structural relaxation. Source: Alexandria, functional PBE.

abc: 4.921 4.921 4.921
angles: 90.00 90.00 90.00
Space group Fm-3m (No. 225)
Symmetry-distinct sites (fractional):
Mn 0.250 0.250 0.250
C 0.000 0.000 0.000

Output
As for the density of states at the Fermi level: 9.16 states/eV/cell. The formation energy comes out at 0.20 eV per atom.



DyPuHg4 after structural relaxation. Source: Alexandria, functional PBE.

abc: 3.298 5.041 8.768
angles: 90.00 90.00 90.00
Space group Pmmm (No. 47)
Symmetry-distinct sites (fractional):
Dy 0.000 0.000 0.000
Pu 0.000 0.500 0.500
Hg 0.500 0.000 0.331
Hg 0.500 0.500 0.164

Output
As for the density of states at the Fermi level: 11.50 states/eV/cell. The formation energy comes out at -0.27 eV per atom.



SnGeRu2 after structural relaxation. Source: Alexandria, functional PBE.

abc: 4.449 4.449 3.155
angles: 90.00 90.00 90.00
Space group P4/mmm (No. 123)
Symmetry-distinct sites (fractional):
Sn 0.000 0.000 0.000
Ge 0.500 0.500 0.000
Ru 0.000 0.500 0.500

Output
As for the density of states at the Fermi level: 0.85 states/eV/cell. The formation energy comes out at -0.11 eV per atom.



K2DySbTe4 after structural relaxation. Source: Alexandria, functional PBE.

abc: 7.857 4.505 8.620
angles: 90.00 107.41 90.00
Space group P2/m (No. 10)
Symmetry-distinct sites (fractional):
K 0.000 0.000 0.000
K 0.500 0.500 0.000
Dy 0.000 0.500 0.500
Sb 0.500 0.000 0.500
Te 0.236 0.000 0.706
Te 0.264 0.500 0.294

Output
The calculation puts the uncorrected formation energy at -741 kJ/mol of formula units.



In3Sn3Se8 after structural relaxation. Source: Alexandria, functional PBE.

abc: 8.2493 8.2493 21.2008
angles: 90.00 90.00 120.00
Space group R-3m (No. 166, hexagonal axes)
Symmetry-distinct sites (fractional):
In 0.0000 0.0000 0.0000
In 0.0000 0.0000 0.3699
Sn 0.0000 0.5000 0.5000
Se 0.0000 0.0000 0.2456
Se 0.0184 0.5092 0.7477

Output
As for the density of states at the Fermi level: 25.01 states/eV/cell. The calculation puts the uncorrected formation energy at -534 kJ/mol of formula units.



CaZr2W after structural relaxation. Source: Alexandria, functional PBE.

abc: 6.632 7.024 3.766
angles: 90.00 90.00 90.00
Space group Cmmm (No. 65)
Symmetry-distinct sites (fractional):
Ca 0.000 0.000 0.000
Zr 0.250 0.250 0.500
W 0.000 0.500 0.000

Output
As for the density of states at the Fermi level: 11.47 states/eV/cell. The formation energy comes out at 0.57 eV per atom.



Hg2AsW after structural relaxation. Source: Alexandria, functional PBE.

abc: 3.183 3.183 8.397
angles: 90.00 90.00 90.00
Space group P4mm (No. 99)
Symmetry-distinct sites (fractional):
Hg 0.000 0.000 0.000
Hg 0.500 0.500 0.314
As 0.500 0.500 0.702
W 0.000 0.000 0.548

Output
As for the density of states at the Fermi level: 2.11 states/eV/cell. The formation energy comes out at 0.37 eV per atom.



La4SnRu2 after structural relaxation. Source: Alexandria, functional PBE.

abc: 8.765 15.758 7.009
angles: 90.00 125.76 90.00
Space group Cc (No. 9)
Symmetry-distinct sites (fractional):
La 0.000 0.036 0.000
La 0.009 0.428 0.318
La 0.101 0.208 0.628
La 0.277 0.226 0.269
Sn 0.183 0.386 0.908
Ru 0.313 0.094 0.994
Ru 0.403 0.336 0.675

Output
As for the density of states at the Fermi level: 17.11 states/eV/cell. The formation energy comes out at -0.40 eV per atom.



La3NdOs after structural relaxation. Source: Alexandria, functional PBE.

abc: 5.680 5.680 5.680
angles: 90.00 90.00 90.00
Space group Pm-3m (No. 221)
Symmetry-distinct sites (fractional):
La 0.000 0.000 0.500
Nd 0.500 0.500 0.500
Os 0.000 0.000 0.000

Output
As for the density of states at the Fermi level: 7.50 states/eV/cell. The formation energy comes out at 0.03 eV per atom.



Ba3Pt after structural relaxation. Source: Alexandria, functional PBE.

abc: 5.256 5.256 7.037
angles: 90.00 90.00 90.00
Space group P4mm (No. 99)
Symmetry-distinct sites (fractional):
Ba 0.000 0.000 0.000
Ba 0.000 0.500 0.538
Pt 0.500 0.500 0.797

Output
As for the density of states at the Fermi level: 4.37 states/eV/cell. The formation energy comes out at -0.15 eV per atom.



Mg3Zn2Au7 after structural relaxation. Source: Alexandria, functional PBE.

abc: 4.952 5.346 9.794
angles: 83.65 78.85 66.41
Space group P-1 (No. 2)
Symmetry-distinct sites (fractional):
Mg 0.000 0.000 0.000
Mg 0.031 0.234 0.394
Zn 0.296 0.338 0.820
Au 0.136 0.708 0.280
Au 0.389 0.824 0.756
Au 0.471 0.252 0.545
Au 0.500 0.500 0.000

Output
As for the density of states at the Fermi level: 4.23 states/eV/cell. The formation energy comes out at -0.30 eV per atom.



InGe2Au8 after structural relaxation. Source: Alexandria, functional PBE.

abc: 17.143 3.777 6.754
angles: 90.00 109.12 90.00
Space group C2/m (No. 12)
Symmetry-distinct sites (fractional):
In 0.000 0.000 0.000
Ge 0.215 0.500 0.626
Au 0.049 0.500 0.726
Au 0.089 0.000 0.434
Au 0.146 0.500 0.178
Au 0.185 0.000 0.889

Output
As for the density of states at the Fermi level: 5.70 states/eV/cell. The formation energy comes out at 0.00 eV per atom.



K3Nd2SnS6 after structural relaxation. Source: Alexandria, functional PBE.

abc: 7.199 12.469 7.761
angles: 90.00 108.01 90.00
Space group C2/m (No. 12)
Symmetry-distinct sites (fractional):
K 0.000 0.000 0.000
K 0.000 0.334 0.000
Nd 0.000 0.167 0.500
Sn 0.000 0.500 0.500
S 0.231 0.337 0.705
S 0.243 0.000 0.705

Output
As for the density of states at the Fermi level: 10.93 states/eV/cell. The calculation puts the uncorrected formation energy at -1688 kJ/mol of formula units.



Ho3Er4Ag after structural relaxation. Source: Alexandria, functional PBE.

abc: 3.513 3.513 18.813
angles: 90.00 90.00 90.00
Space group P4/mmm (No. 123)
Symmetry-distinct sites (fractional):
Ho 0.000 0.000 0.000
Ho 0.000 0.000 0.264
Er 0.500 0.500 0.133
Er 0.500 0.500 0.399
Ag 0.000 0.000 0.500

Output
As for the density of states at the Fermi level: 9.62 states/eV/cell. The formation energy comes out at -0.06 eV per atom.



| no. | calculated total energy (eV/cell) | M_tot (μB per formula unit) |
| --- | --- | --- |
| 1 | -142.35 | 0.44 |
| 2 | -14.03 | 0.00 |
| 3 | -38.94 | 0.55 |
| 4 | -31.87 | 0.00 |
| 5 | -22.67 | 0.00 |
| 6 | -46.53 | 0.00 |
| 7 | -107.88 | 4.44 |
| 8 | -21.78 | 5.77 |
| 9 | -27.60 | 0.00 |
| 10 | -31.17 | 0.00 |
| 11 | -160.92 | 0.00 |
| 12 | -59.53 | 0.00 |
| 13 | -16.71 | 0.00 |
| 14 | -180.35 | 0.00 |
| 15 | -30.65 | 0.00 |
| 16 | -12.42 | 0.00 |
| 17 | -33.83 | 0.00 |
| 18 | -76.32 | 0.00 |
| 19 | -118.18 | 0.00 |
| 20 | -35.29 | 0.00 |